Here is crystalline ZrCuNiPb at its relaxed geometry from the Open Quantum Materials Database. Energies are from PBE-GGA.

Output
The value obtained for the distance to the lowest polymorph of the same formula is 0.000 eV per formula unit.

Cell: 6.475 6.475 6.475 Å, 90.00 90.00 90.00°
Space group F-43m (No. 216)
One atom of each set of equivalent atoms:
Zr: 0.000 0.000 0.000 [4 per cell]
Cu: 0.250 0.250 0.750 [4 per cell]
Ni: 0.250 0.250 0.250 [4 per cell]
Pb: 0.000 0.000 0.500 [4 per cell]

Here is crystalline K2Cd3Pt2 at its relaxed geometry from the Open Quantum Materials Database. Energies are from PBE-GGA.

Output
The value obtained for the energy is -2.679 eV/atom.

Cell: 12.166 4.692 7.847 Å, 90.00 121.41 90.00°
Space group C2/m (No. 12)
One atom of each set of equivalent atoms:
K: 0.146 0.000 0.278 [4 per cell]
Cd: 0.000 0.500 0.500 [2 per cell]
Cd: 0.163 0.500 0.934 [4 per cell]
Pt: 0.111 0.000 0.697 [4 per cell]